! PBE-GGA LaErCu2Si2, optimized geometry; values from VASP
! electronic total energy: -5.28 eV/atom
! M_tot: 0.00 μB/cell
&SYSTEM
  ibrav = 0, nat = 6, ntyp = 4
/
ATOMIC_SPECIES
La 138.91 La.upf
Er 167.26 Er.upf
Cu 63.55 Cu.upf
Si 28.09 Si.upf
CELL_PARAMETERS angstrom
4.181 0.000 0.000
-2.090 3.621 0.000
0.000 0.000 7.763
ATOMIC_POSITIONS angstrom
La 0.000 0.000 0.000
Er 0.000 0.000 3.881
Cu 0.000 2.414 2.127
Cu 2.090 1.207 5.635
Si 0.000 2.414 5.685
Si 2.090 1.207 2.077